# 1
Computed, not measured: a geometry-optimized PuHgBi structure at the PBE-GGA level of DFT.

Cell: 5.4016 5.4016 6.6854 Å, 90.00 90.00 120.00°
Closest atoms and distances in Å follow each position.
Space group P6_3/mmc (No. 194)
Symmetry-distinct sites (fractional):
Pu 0.3333 0.6667 0.2500 (multiplicity 2)  5 Hg 3.12-3.34
Hg 0.3333 0.6667 0.7500 (multiplicity 2)  5 Pu 3.12-3.34
Bi 0.0000 0.0000 0.0000 (multiplicity 2)  2 Bi 3.34, 6 Hg 3.54, 6 Pu 3.54

## Properties
Energy above the lowest structure with this stoichiometry = 0.07 eV/f.u.
Final energy = -6.39 eV/atom

# 2
Computed, not measured: a geometry-optimized Pu4Hg4Bi5 structure at the PBE-GGA level of DFT.

Cell: 12.4573 12.4573 4.6696 Å, 90.00 90.00 90.00°
Closest atoms and distances in Å follow each position.
Space group I4/m (No. 87)
Symmetry-distinct sites (fractional):
Pu 0.1390 0.2217 0.0000 (multiplicity 8)  6 Bi 3.26-3.44, 4 Hg 3.41-3.63
Hg 0.0820 0.6057 0.0000 (multiplicity 8)  3 Bi 3.24-3.32, 5 Hg 3.32-3.33, 4 Pu 3.41-3.63
Bi 0.0000 0.0000 0.0000 (multiplicity 2)  4 Pu 3.26, 8 Bi 3.54
Bi 0.0484 0.7917 0.5000 (multiplicity 8)  3 Hg 3.24-3.32, 5 Pu 3.30-3.44, 2 Bi 3.54

## Properties
Final energy = -6.19 eV/atom

# 3
Computed, not measured: a geometry-optimized Pu2HgBi3 structure at the PBE-GGA level of DFT.

Cell: 6.6899 4.9012 6.7177 Å, 90.00 107.84 90.00°
Closest atoms and distances in Å follow each position.
Space group P2/m (No. 10)
Symmetry-distinct sites (fractional):
Pu 0.1934 0.0000 0.3055 (multiplicity 2)  6 Bi 3.20-3.23, 1 Hg 3.32
Hg 0.5000 0.0000 0.0000 (multiplicity 1)  2 Pu 3.32
Bi 0.0000 0.5000 0.0000 (multiplicity 1)  4 Pu 3.20, 2 Bi 3.36
Bi 0.0000 0.5000 0.5000 (multiplicity 1)  4 Pu 3.23, 4 Bi 3.34-3.36
Bi 0.5000 0.5000 0.5000 (multiplicity 1)  4 Pu 3.21, 2 Bi 3.34

## Properties
Final energy = -6.87 eV/atom

# 4
Computed, not measured: a geometry-optimized Pu4HgBi12 structure at the PBE-GGA level of DFT.

Cell: 10.1382 10.1382 10.1382 Å, 90.00 90.00 90.00°
Closest atoms and distances in Å follow each position.
Space group Im-3m (No. 229)
Symmetry-distinct sites (fractional):
Pu 0.2500 0.2500 0.2500 (multiplicity 8)  12 Bi 3.58-3.60
Hg 0.0000 0.0000 0.0000 (multiplicity 2)  6 Bi 2.87
Bi 0.0000 0.0000 0.2833 (multiplicity 12)  1 Hg 2.87
Bi 0.0000 0.2500 0.5000 (multiplicity 12)  8 Bi 3.35-3.58, 4 Pu 3.58

## Properties
Final energy = -5.60 eV/atom

Results for energy of formation: -0.22; -0.20; -0.10; 0.53 (in eV per atom, following the order of the records).